(1)
## HgC2 (PBE)

Data for a relaxed structure of HgC2.

## Properties
For the energy above the most stable polymorph in this dataset, the calculation gives 245 meV/atom. Its energy of formation from the pure elements is 0.783 eV/atom. The value obtained for the volume is 26.785 Å³/atom.

Geometry as CIF:
```
data_HgC2
_chemical_formula_sum 'Hg3 C6'
_symmetry_space_group_name_H-M 'P -6 2 m'
_symmetry_Int_Tables_number 189
_symmetry_space_group_name_Hall 'P -6 -2'
_cell_length_a 10.3121
_cell_length_b 10.3121
_cell_length_c 2.6176
_cell_angle_alpha 90.00
_cell_angle_beta 90.00
_cell_angle_gamma 120.00
loop_
_atom_site_label
_atom_site_fract_x
_atom_site_fract_y
_atom_site_fract_z
_atom_site_occupancy
Hg1 0.0000 0.0000 0.0000 1
Hg2 0.3333 0.6667 0.5000 1
C1 0.0000 0.3323 0.0000 1
C2 0.0000 0.3326 0.5000 1
```

---

(2)
## Ca3SbPb (PBE)

Data for a relaxed structure of Ca3SbPb.

## Properties
For the energy above the most stable polymorph in this dataset, the calculation gives 212 meV/atom. The value obtained for the volume is 39.983 Å³/atom. The uncorrected formation energy comes out at -2.11 eV/f.u.

Geometry as CIF:
```
data_Ca3SbPb
_chemical_formula_sum 'Ca3 Sb1 Pb1'
_symmetry_space_group_name_H-M 'P m -3 m'
_symmetry_Int_Tables_number 221
_symmetry_space_group_name_Hall '-P 4 2 3'
_cell_length_a 5.847
_cell_length_b 5.847
_cell_length_c 5.847
_cell_angle_alpha 90.00
_cell_angle_beta 90.00
_cell_angle_gamma 90.00
loop_
_atom_site_label
_atom_site_fract_x
_atom_site_fract_y
_atom_site_fract_z
_atom_site_occupancy
Ca1 0.000 0.000 0.500 1
Sb1 0.000 0.000 0.000 1
Pb1 0.500 0.500 0.500 1
```

---

(3)
## BaAcInO (PBE)

Data for a relaxed structure of BaAcInO.

## Properties
The value obtained for the volume is 32.181 Å³/atom. The uncorrected formation energy comes out at -5.90 eV/f.u.

Geometry as CIF:
```
data_BaAcInO
_chemical_formula_sum 'Ba2 Ac2 In2 O2'
_symmetry_space_group_name_H-M 'I m m 2'
_symmetry_Int_Tables_number 44
_symmetry_space_group_name_Hall 'I 2 -2'
_cell_length_a 3.957
_cell_length_b 4.137
_cell_length_c 15.723
_cell_angle_alpha 90.00
_cell_angle_beta 90.00
_cell_angle_gamma 90.00
loop_
_atom_site_label
_atom_site_fract_x
_atom_site_fract_y
_atom_site_fract_z
_atom_site_occupancy
Ba1 0.000 0.000 0.000 1
Ac1 0.000 0.000 0.303 1
In1 0.000 0.000 0.656 1
O1 0.000 0.500 0.889 1
```

---

(4)
## Ca2CdSe (PBE)

Data for a relaxed structure of Ca2CdSe.

## Properties
For the energy above the most stable polymorph in this dataset, the calculation gives 90 meV/atom. The value obtained for the volume is 30.190 Å³/atom. The uncorrected formation energy comes out at -3.67 eV/f.u.

Geometry as CIF:
```
data_Ca2CdSe
_chemical_formula_sum 'Ca4 Cd2 Se2'
_symmetry_space_group_name_H-M 'I m m 2'
_symmetry_Int_Tables_number 44
_symmetry_space_group_name_Hall 'I 2 -2'
_cell_length_a 3.781
_cell_length_b 3.995
_cell_length_c 15.986
_cell_angle_alpha 90.00
_cell_angle_beta 90.00
_cell_angle_gamma 90.00
loop_
_atom_site_label
_atom_site_fract_x
_atom_site_fract_y
_atom_site_fract_z
_atom_site_occupancy
Ca1 0.000 0.000 0.000 1
Ca2 0.000 0.500 0.218 1
Cd1 0.000 0.500 0.829 1
Se1 0.000 0.000 0.572 1
```